VASP calculation (PBE-GGA) on an optimized crystal structure of PmMg5Cd7.

Cell and atoms, written as POSCAR:
```
PmMg5Cd7
1.0
-3.020 4.968 4.912
3.020 -4.968 4.912
3.020 4.968 -4.912
Pm Mg Cd
1 5 7
Direct
0.000 0.000 0.000 Pm
0.219 0.719 0.500 Mg
0.504 0.003 0.005 Mg
0.504 0.499 0.501 Mg
0.998 0.003 0.499 Mg
0.998 0.499 0.995 Mg
0.216 0.504 0.712 Cd
0.342 0.342 0.000 Cd
0.347 0.998 0.348 Cd
0.650 0.650 0.000 Cd
0.650 0.998 0.652 Cd
0.787 0.287 0.500 Cd
0.792 0.504 0.288 Cd
```

Computed properties:
- E_form (eV per atom) = -0.166
- space-group type = No. 44
- theoretical density (g cm⁻³) = 5.9
- E_tot (eV/atom) = -1.64